# 1
YReBr | PBE-GGA | optimized geometry

Computed properties:
Its magnetization is 3.00 μB/f.u. The uncorrected formation energy comes out at 1.0956 eV per atom. The calculation puts the density of states at the Fermi level at 6.0 states/eV/cell. The electronic total energy comes out at -5.766 eV/atom.

a = 4.934 Å, b = 4.934 Å, c = 4.934 Å
α = 60.00°, β = 60.00°, γ = 60.00°
Sites, in units of the cell vectors:
Y1 0.000 0.000 0.000
Re1 0.250 0.250 0.250
Br1 0.750 0.750 0.750

# 2
YReBr2 | PBE-GGA | optimized geometry

Computed properties:
Its magnetization is 0.00 μB/f.u. The uncorrected formation energy comes out at -0.1116 eV per atom. The calculation puts the density of states at the Fermi level at 2.5 states/eV/cell. The electronic total energy comes out at -5.676 eV/atom.

a = 7.191 Å, b = 7.191 Å, c = 7.191 Å
α = 149.81°, β = 143.17°, γ = 48.34°
Sites, in units of the cell vectors:
Y1 0.000 0.000 0.000
Re1 0.500 0.500 0.000
Br1 0.359 0.859 0.500
Br2 0.641 0.141 0.500

# 3
YReBr2 | PBE-GGA | optimized geometry

Computed properties:
Its magnetization is 0.00 μB/f.u. The uncorrected formation energy comes out at 0.2501 eV per atom. The calculation puts the density of states at the Fermi level at 5.7 states/eV/cell. The electronic total energy comes out at -5.314 eV/atom.

a = 9.352 Å, b = 9.352 Å, c = 9.352 Å
α = 151.40°, β = 151.40°, γ = 40.89°
Sites, in units of the cell vectors:
Y1 0.000 0.000 0.000
Y2 0.750 0.250 0.500
Re1 0.250 0.750 0.500
Re2 0.500 0.500 0.000
Br1 0.155 0.625 0.030
Br2 0.375 0.405 0.530
Br3 0.595 0.125 0.970
Br4 0.875 0.845 0.470

# 4
YReBr2 | PBE-GGA | optimized geometry

Computed properties:
Its magnetization is 0.00 μB/f.u. The uncorrected formation energy comes out at -0.2098 eV per atom. The electronic total energy comes out at -5.774 eV/atom.

a = 4.258 Å, b = 3.407 Å, c = 7.853 Å
α = 90.00°, β = 104.27°, γ = 90.00°
Sites, in units of the cell vectors:
Y1 0.000 0.000 0.000
Re1 0.564 0.500 0.144
Br1 0.410 0.500 0.801
Br2 0.671 0.000 0.389

# 5
YReBr2 | PBE-GGA | optimized geometry

Computed properties:
Its magnetization is 4.00 μB/f.u. The uncorrected formation energy comes out at 0.6251 eV per atom. The calculation puts the density of states at the Fermi level at 5.5 states/eV/cell. The electronic total energy comes out at -4.939 eV/atom.

a = 5.172 Å, b = 5.172 Å, c = 5.172 Å
α = 60.00°, β = 60.00°, γ = 60.00°
Sites, in units of the cell vectors:
Y1 0.000 0.000 0.000
Re1 0.250 0.250 0.250
Br1 0.500 0.500 0.500
Br2 0.750 0.750 0.750

# 6
YRe2Br | PBE-GGA | optimized geometry

Computed properties:
Its magnetization is 0.00 μB/f.u. The uncorrected formation energy comes out at 0.9052 eV per atom. The calculation puts the density of states at the Fermi level at 4.4 states/eV/cell. The electronic total energy comes out at -7.353 eV/atom.

a = 4.834 Å, b = 4.834 Å, c = 4.834 Å
α = 123.47°, β = 123.47°, γ = 84.08°
Sites, in units of the cell vectors:
Y1 0.000 0.000 0.000
Re1 0.500 0.500 0.000
Re2 0.750 0.250 0.500
Br1 0.250 0.750 0.500

# 7
YRe2Br | PBE-GGA | optimized geometry

Computed properties:
Its magnetization is 0.00 μB/f.u. The uncorrected formation energy comes out at 0.3360 eV per atom. The calculation puts the density of states at the Fermi level at 1.4 states/eV/cell. The electronic total energy comes out at -7.922 eV/atom.

a = 5.153 Å, b = 5.153 Å, c = 5.505 Å
α = 107.14°, β = 107.14°, γ = 39.96°
Sites, in units of the cell vectors:
Y1 0.000 0.000 0.000
Re1 0.537 0.537 0.507
Re2 0.865 0.865 0.417
Br1 0.252 0.252 0.873

# 8
YRe2Br | PBE-GGA | optimized geometry

Computed properties:
Its magnetization is 0.00 μB/f.u. The uncorrected formation energy comes out at 0.5402 eV per atom. The calculation puts the density of states at the Fermi level at 3.9 states/eV/cell. The electronic total energy comes out at -7.718 eV/atom.

a = 3.736 Å, b = 3.736 Å, c = 5.731 Å
α = 90.00°, β = 90.00°, γ = 90.00°
Sites, in units of the cell vectors:
Y1 0.000 0.000 0.000
Re1 0.000 0.500 0.500
Re2 0.500 0.000 0.500
Br1 0.500 0.500 0.000

# 9
YReBr2 | PBE-GGA | optimized geometry

Computed properties:
Its magnetization is 3.65 μB/f.u. The uncorrected formation energy comes out at 0.4313 eV per atom. The calculation puts the density of states at the Fermi level at 1.8 states/eV/cell. The electronic total energy comes out at -5.133 eV/atom.

a = 5.010 Å, b = 5.010 Å, c = 5.010 Å
α = 60.00°, β = 60.00°, γ = 60.00°
Sites, in units of the cell vectors:
Y1 0.000 0.000 0.000
Re1 0.500 0.500 0.500
Br1 0.250 0.250 0.250
Br2 0.750 0.750 0.750

# 10
Y3ReBr | PBE-GGA | optimized geometry

Computed properties:
Its magnetization is 0.00 μB/f.u. The uncorrected formation energy comes out at 0.1123 eV per atom. The calculation puts the density of states at the Fermi level at 5.9 states/eV/cell. The electronic total energy comes out at -6.590 eV/atom.

a = 5.467 Å, b = 5.467 Å, c = 5.467 Å
α = 90.00°, β = 90.00°, γ = 90.00°
Sites, in units of the cell vectors:
Y1 0.000 0.000 0.500
Y2 0.000 0.500 0.000
Y3 0.500 0.000 0.000
Re1 0.000 0.000 0.000
Br1 0.500 0.500 0.500

# 11
ZnReBr | PBE-GGA | optimized geometry

Computed properties:
Its magnetization is 1.10 μB/f.u. The uncorrected formation energy comes out at 1.3207 eV per atom. The calculation puts the density of states at the Fermi level at 3.5 states/eV/cell. The electronic total energy comes out at -3.811 eV/atom.

a = 4.360 Å, b = 4.360 Å, c = 4.360 Å
α = 60.00°, β = 60.00°, γ = 60.00°
Sites, in units of the cell vectors:
Zn1 0.000 0.000 0.000
Re1 0.750 0.750 0.750
Br1 0.500 0.500 0.500

# 12
Zn2ReBr | PBE-GGA | optimized geometry

Computed properties:
Its magnetization is 1.75 μB/f.u. The uncorrected formation energy comes out at 1.0502 eV per atom. The calculation puts the density of states at the Fermi level at 2.9 states/eV/cell. The electronic total energy comes out at -3.117 eV/atom.

a = 4.565 Å, b = 4.565 Å, c = 4.565 Å
α = 60.00°, β = 60.00°, γ = 60.00°
Sites, in units of the cell vectors:
Zn1 0.000 0.000 0.000
Zn2 0.250 0.250 0.250
Re1 0.750 0.750 0.750
Br1 0.500 0.500 0.500

# 13
Zn4ReBr | PBE-GGA | optimized geometry

Computed properties:
Its magnetization is 0.00 μB/f.u. The uncorrected formation energy comes out at 0.5976 eV per atom. The calculation puts the density of states at the Fermi level at 1.1 states/eV/cell. The electronic total energy comes out at -2.605 eV/atom.

a = 5.123 Å, b = 5.123 Å, c = 5.123 Å
α = 60.00°, β = 60.00°, γ = 60.00°
Sites, in units of the cell vectors:
Zn1 0.123 0.123 0.123
Zn2 0.123 0.123 0.631
Zn3 0.123 0.631 0.123
Zn4 0.631 0.123 0.123
Re1 0.750 0.750 0.750
Br1 0.500 0.500 0.500

# 14
ZnReBr | PBE-GGA | optimized geometry

Computed properties:
Its magnetization is 0.00 μB/f.u. The uncorrected formation energy comes out at 0.8053 eV per atom. The calculation puts the density of states at the Fermi level at 2.5 states/eV/cell. The electronic total energy comes out at -4.326 eV/atom.

a = 7.724 Å, b = 7.387 Å, c = 3.066 Å
α = 84.55°, β = 72.17°, γ = 23.28°
Sites, in units of the cell vectors:
Zn1 0.000 0.000 0.000
Re1 0.648 0.648 0.352
Br1 0.291 0.291 0.709

# 15
Zn2ReBr | PBE-GGA | optimized geometry

Computed properties:
Its magnetization is 0.00 μB/f.u. The uncorrected formation energy comes out at 1.1789 eV per atom. The calculation puts the density of states at the Fermi level at 2.2 states/eV/cell. The electronic total energy comes out at -2.988 eV/atom.

a = 4.600 Å, b = 4.600 Å, c = 4.600 Å
α = 60.00°, β = 60.00°, γ = 60.00°
Sites, in units of the cell vectors:
Zn1 0.250 0.250 0.250
Zn2 0.750 0.750 0.750
Re1 0.000 0.000 0.000
Br1 0.500 0.500 0.500

# 16
ZnReBr | PBE-GGA | optimized geometry

Computed properties:
Its magnetization is 1.50 μB/f.u. The uncorrected formation energy comes out at 1.7175 eV per atom. The calculation puts the density of states at the Fermi level at 2.9 states/eV/cell. The electronic total energy comes out at -3.414 eV/atom.

a = 4.350 Å, b = 4.350 Å, c = 4.350 Å
α = 60.00°, β = 60.00°, γ = 60.00°
Sites, in units of the cell vectors:
Zn1 0.000 0.000 0.000
Re1 0.500 0.500 0.500
Br1 0.750 0.750 0.750

# 17
Zn2ReBr | PBE-GGA | optimized geometry

Computed properties:
Its magnetization is 0.00 μB/f.u. The uncorrected formation energy comes out at 0.5285 eV per atom. The calculation puts the density of states at the Fermi level at 3.0 states/eV/cell. The electronic total energy comes out at -3.639 eV/atom.

a = 3.277 Å, b = 3.277 Å, c = 6.598 Å
α = 90.00°, β = 90.00°, γ = 90.00°
Sites, in units of the cell vectors:
Zn1 0.000 0.000 0.199
Zn2 0.000 0.000 0.801
Re1 0.500 0.500 0.000
Br1 0.500 0.500 0.500

# 18
Zn2ReBr | PBE-GGA | optimized geometry

Computed properties:
Its magnetization is 1.13 μB/f.u. The uncorrected formation energy comes out at 0.9573 eV per atom. The calculation puts the density of states at the Fermi level at 3.9 states/eV/cell. The electronic total energy comes out at -3.210 eV/atom.

a = 5.198 Å, b = 5.198 Å, c = 5.198 Å
α = 136.30°, β = 136.30°, γ = 63.52°
Sites, in units of the cell vectors:
Zn1 0.250 0.750 0.500
Zn2 0.750 0.250 0.500
Re1 0.000 0.000 0.000
Br1 0.500 0.500 0.000

# 19
ZnReBr | PBE-GGA | optimized geometry

Computed properties:
Its magnetization is 0.00 μB/f.u. The uncorrected formation energy comes out at 0.9997 eV per atom. The calculation puts the density of states at the Fermi level at 3.2 states/eV/cell. The electronic total energy comes out at -4.132 eV/atom.

a = 4.516 Å, b = 4.516 Å, c = 2.868 Å
α = 90.00°, β = 90.00°, γ = 120.00°
Sites, in units of the cell vectors:
Zn1 0.000 0.000 0.000
Re1 0.333 0.667 0.500
Br1 0.667 0.333 0.500

# 20
Zn2ReBr | PBE-GGA | optimized geometry

Computed properties:
Its magnetization is 0.00 μB/f.u. The uncorrected formation energy comes out at 0.4016 eV per atom. The calculation puts the density of states at the Fermi level at 1.4 states/eV/cell. The electronic total energy comes out at -3.766 eV/atom.

a = 6.954 Å, b = 6.954 Å, c = 6.954 Å
α = 155.99°, β = 142.95°, γ = 44.64°
Sites, in units of the cell vectors:
Zn1 0.000 0.000 0.000
Zn2 0.636 0.136 0.500
Re1 0.469 0.469 0.000
Br1 0.306 0.806 0.500